HfFeMoRu2 | PBE | optimized geometry

Unit cell a=4.3561 b=4.6215 c=4.3561 alpha=90.00 beta=90.00 gamma=90.00
With the nearest neighbours (Å) after each atom.
Fractional coordinates of all 5 atoms:
Ru  0.0000  0.0000  0.5000  2 Fe 2.18
Ru  0.5000  0.0000  0.0000  2 Fe 2.18
Mo  0.5000  0.5000  0.5000  4 Hf 3.08, 8 Ru 3.18
Hf  0.0000  0.5000  0.0000  2 Fe 2.31
Fe  0.0000  0.0000  0.0000  4 Ru 2.18, 2 Hf 2.31

## Properties
**Space-group type**: P4/mmm
**Magnetization**: 0.26 μB per atom
**VASP energy**: -8.5492 eV/atom